Record 1
Compound: BaTa2Tl
Source: Alexandria
Functional: SCAN
Structure: PBEsol geometry Values from VASP.

Quantum ESPRESSO input file:
```
&SYSTEM
  ibrav = 0, nat = 4, ntyp = 3
/
ATOMIC_SPECIES
Ba 137.33 Ba.upf
Ta 180.95 Ta.upf
Tl 204.38 Tl.upf
CELL_PARAMETERS angstrom
1.667 0.963 10.225
-1.667 0.963 10.225
0.000 -1.925 10.225
ATOMIC_POSITIONS crystal
Ba 0.000 0.000 0.000
Ta 0.490 0.490 0.490
Ta 0.763 0.763 0.763
Tl 0.234 0.234 0.234
```

* formation enthalpy at 0 K: 0.632 eV/atom
* relative energy among the computed polymorphs: 228 meV per atom
* calculated total energy: -60.64 eV/atom
* M_tot: 0.0001 μB per atom

***

Record 2
Compound: BaTaTl
Source: Alexandria
Functional: SCAN
Structure: PBEsol geometry Values from VASP.

Quantum ESPRESSO input file:
```
&SYSTEM
  ibrav = 0, nat = 3, ntyp = 3
/
ATOMIC_SPECIES
Ba 137.33 Ba.upf
Ta 180.95 Ta.upf
Tl 204.38 Tl.upf
CELL_PARAMETERS angstrom
-1.918 1.918 5.971
1.918 -1.918 5.971
1.918 1.918 -5.971
ATOMIC_POSITIONS crystal
Ba 0.000 0.000 0.000
Ta 0.715 0.715 0.000
Tl 0.285 0.285 0.000
```

* formation enthalpy at 0 K: 0.650 eV/atom
* calculated total energy: -58.85 eV/atom
* M_tot: 0.5858 μB per atom

***

Record 3
Compound: BaTa2Tl
Source: Alexandria
Functional: SCAN
Structure: PBEsol geometry Values from VASP.

Quantum ESPRESSO input file:
```
&SYSTEM
  ibrav = 0, nat = 4, ntyp = 3
/
ATOMIC_SPECIES
Ba 137.33 Ba.upf
Ta 180.95 Ta.upf
Tl 204.38 Tl.upf
CELL_PARAMETERS angstrom
3.081 0.000 0.000
0.000 5.336 0.000
0.000 0.000 5.594
ATOMIC_POSITIONS crystal
Ba 0.000 0.000 0.000
Ta 0.000 0.500 0.500
Ta 0.500 0.500 0.000
Tl 0.500 0.000 0.500
```

* formation enthalpy at 0 K: 1.051 eV/atom
* relative energy among the computed polymorphs: 647 meV per atom
* calculated total energy: -60.22 eV/atom
* M_tot: 0.0000 μB per atom

***

> What is the formula in the second record?

BaTaTl

***

> Which formula does entry 3 have?

BaTa2Tl

***

> Among the records above, which one has the highest formation enthalpy at 0 K?

number 3